[1]
Density functional theory data (PBE) for a geometry-optimized LiPu4Rh3 structure.

Computed properties:
Its total magnetization is 21.27 μB/f.u. The formation energy is -0.364 eV per atom. The value obtained for the calculated density is 13.3 g/cm³. Its density of states at the Fermi level is 53.50 states/eV/cell.

```
16
Lattice="-5.4289 5.4289 2.7434 5.4289 -5.4289 2.7434 5.4289 5.4289 -2.7434" Properties=species:S:1:pos:R:3 pbc="T T T"
Li 5.4289 0.0000 1.3717
Li 0.0000 5.4289 1.3717
Pu 8.3950 0.8909 0.0000
Pu 0.8909 2.4627 0.0000
Pu 6.3198 2.9662 0.0000
Pu 2.9662 4.5379 0.0000
Pu 2.4627 0.8909 2.7434
Pu -0.8909 2.4627 2.7434
Pu 4.5379 2.9662 2.7434
Pu -2.9662 4.5379 2.7434
Rh 3.7016 1.7272 0.0000
Rh 0.0000 0.0000 1.3717
Rh 3.7016 -1.7272 2.7434
Rh 1.7272 7.1561 0.0000
Rh 0.0000 0.0000 4.1152
Rh 1.7272 3.7016 2.7434
```



[2]
Density functional theory data (PBE) for a geometry-optimized LiPuRh structure.

Computed properties:
Its total magnetization is 4.96 μB/f.u. The formation energy is -0.263 eV per atom. The value obtained for the calculated density is 10.5 g/cm³. As for the energy above the lowest structure with this stoichiometry: 0.069 eV per atom. Its density of states at the Fermi level is 14.61 states/eV/cell.

```
6
Lattice="3.4841 0.0000 0.0000 0.0000 4.2422 0.0000 -1.7095 0.0000 7.5795" Properties=species:S:1:pos:R:3 pbc="T T T"
Li 0.0158 0.0000 3.7402
Li 1.7588 2.1211 3.8394
Pu 0.0205 2.1124 1.1230
Pu 1.7540 4.2335 6.4565
Rh 0.0188 2.1125 5.9628
Rh 1.7558 4.2335 1.6168
```



[3]
Density functional theory data (PBE) for a geometry-optimized Li4PuRh2 structure.

Computed properties:
Its total magnetization is 4.84 μB/f.u. The formation energy is -0.135 eV per atom. The value obtained for the calculated density is 6.7 g/cm³. Its density of states at the Fermi level is 22.08 states/eV/cell.

```
14
Lattice="3.0963 0.0000 0.0000 0.0000 18.3068 0.0000 0.0000 0.0000 4.1611" Properties=species:S:1:pos:R:3 pbc="T T T"
Li 0.0000 2.9795 0.0000
Li 0.0000 5.6806 2.0806
Li 0.0000 12.6262 2.0806
Li 0.0000 15.3273 0.0000
Li 1.5482 3.4728 2.0806
Li 1.5482 6.1739 0.0000
Li 1.5482 12.1329 0.0000
Li 1.5482 14.8340 2.0806
Pu 0.0000 9.1534 0.0000
Pu 1.5482 0.0000 0.0000
Rh 0.0000 1.3986 2.0806
Rh 0.0000 16.9082 2.0806
Rh 1.5482 7.7548 2.0806
Rh 1.5482 10.5520 2.0806
```



[4]
Density functional theory data (PBE) for a geometry-optimized Li3PuRh2 structure.

Computed properties:
Its total magnetization is 4.57 μB/f.u. The formation energy is -0.217 eV per atom. The value obtained for the calculated density is 7.8 g/cm³. Its density of states at the Fermi level is 15.33 states/eV/cell.

```
12
Lattice="7.1730 -2.1171 0.0000 7.1730 2.1171 0.0000 -2.5379 0.0000 6.6214" Properties=species:S:1:pos:R:3 pbc="T T T"
Li 0.5559 0.0000 1.3369
Li 3.0194 0.0000 3.6939
Li 3.0035 0.0000 6.2214
Li 8.8045 0.0000 0.4000
Li 8.7886 0.0000 2.9275
Li 11.2521 0.0000 5.2845
Pu -0.0494 0.0000 4.8527
Pu 11.8574 0.0000 1.7687
Rh 3.2457 0.0000 1.0457
Rh 6.2665 0.0000 2.0632
Rh 5.5416 0.0000 4.5582
Rh 8.5624 0.0000 5.5757
```